Computed, not measured: a relaxed La4Pr3Al4 crystal at the PBE level of DFT.

Calculated values
Total energy = -4.576 eV/atom
Formation enthalpy at 0 K = -0.120 eV per atom
SG = No. 71

a = 4.9854 Å, b = 8.1478 Å, c = 9.7018 Å
α = 114.83°, β = 104.89°, γ = 90.00°
Last column: nearest neighbours and their distance in Å.
Sites, in units of the cell vectors:
1 La 0.6661 0.8615 0.3323  4 Al 3.04-3.16, 1 La 3.18
2 La 0.3339 0.5292 0.6677  4 Al 3.04-3.16, 1 La 3.18
3 La 0.3339 0.1385 0.6677  4 Al 3.04-3.16, 1 La 3.18
4 La 0.6661 0.4708 0.3323  4 Al 3.04-3.16, 1 La 3.18
5 Al 0.5000 0.8386 0.0000  1 Al 2.63
6 Al 0.2177 0.7177 0.4354  6 La 3.08-3.16
7 Al 0.7823 0.2823 0.5646  6 La 3.08-3.16
8 Al 0.5000 0.1614 0.0000  1 Al 2.63
9 Pr 0.1125 0.1125 0.2250  6 Al 3.40-3.80, 4 La 3.63, 1 Pr 3.80
10 Pr 0.0000 0.5000 0.0000  6 Al 3.68-3.72, 8 La 4.08
11 Pr 0.8875 0.8875 0.7750  6 Al 3.40-3.80, 4 La 3.63, 1 Pr 3.80

=====

Computed, not measured: a relaxed NaBe3O crystal at the PBE level of DFT.

Calculated values
Polymorph energy (0 for the lowest one) = 0 meV/atom
Total energy = -3.255 eV/atom
SG = No. 221
Uncorrected formation energy = 23 kJ per mole of atoms

a = 3.8098 Å, b = 3.8098 Å, c = 3.8098 Å
α = 90.00°, β = 90.00°, γ = 90.00°
Last column: nearest neighbours and their distance in Å.
Sites, in units of the cell vectors:
1 Be 0.0000 0.5000 0.0000  2 O 1.90
2 Be 0.0000 0.0000 0.5000  2 O 1.90
3 Be 0.5000 0.0000 0.0000  2 O 1.90
4 Na 0.5000 0.5000 0.5000  12 Be 2.69
5 O 0.0000 0.0000 0.0000  6 Be 1.90

=====

Computed, not measured: a relaxed PrSm4Ho10 crystal at the PBE level of DFT.

Calculated values
Total energy = -4.068 eV/atom
Formation enthalpy at 0 K = 0.560 eV per atom
SG = No. 87

a = 6.4798 Å, b = 9.6770 Å, c = 9.6770 Å
α = 83.56°, β = 70.44°, γ = 70.44°
Last column: nearest neighbours and their distance in Å.
Sites, in units of the cell vectors:
1 Ho 0.7500 0.5000 0.5000  6 Ho 3.15-3.24
2 Ho 0.5427 0.8365 0.5770  4 Ho 3.15-3.30, 3 Sm 3.38-3.51
3 Ho 0.4573 0.1635 0.4230  4 Ho 3.15-3.30, 3 Sm 3.38-3.51
4 Ho 0.0439 0.8365 0.5770  4 Ho 3.15-3.30, 3 Sm 3.38-3.51
5 Ho 0.8803 0.5770 0.1635  4 Ho 3.15-3.30, 3 Sm 3.38-3.51
6 Ho 0.3791 0.5770 0.1635  4 Ho 3.15-3.30, 3 Sm 3.38-3.51
7 Ho 0.2500 0.5000 0.5000  6 Ho 3.15-3.24
8 Ho 0.6209 0.4230 0.8365  4 Ho 3.15-3.30, 3 Sm 3.38-3.51
9 Ho 0.1197 0.4230 0.8365  4 Ho 3.15-3.30, 3 Sm 3.38-3.51
10 Ho 0.9561 0.1635 0.4230  4 Ho 3.15-3.30, 3 Sm 3.38-3.51
11 Sm 0.5675 0.1049 0.7602  2 Sm 3.38, 6 Ho 3.38-3.51
12 Sm 0.3277 0.2398 0.1049  2 Sm 3.38, 6 Ho 3.38-3.51
13 Sm 0.4325 0.8951 0.2398  2 Sm 3.38, 6 Ho 3.38-3.51
14 Sm 0.6723 0.7602 0.8951  2 Sm 3.38, 6 Ho 3.38-3.51
15 Pr 0.0000 0.0000 0.0000  8 Sm 4.02, 8 Ho 4.44

=====

Computed, not measured: a relaxed Dy2ErIr2 crystal at the PBE level of DFT.

Calculated values
Polymorph energy (0 for the lowest one) = 34 meV/atom
Total energy = -7.045 eV/atom
Formation enthalpy at 0 K = -0.747 eV per atom
SG = No. 15

a = 5.5839 Å, b = 5.9893 Å, c = 8.2095 Å
α = 106.24°, β = 90.00°, γ = 117.78°
Last column: nearest neighbours and their distance in Å.
Sites, in units of the cell vectors:
1 Ir 0.7078 0.7201 0.4931  1 Ir 2.61, 2 Er 2.74-2.84
2 Ir 0.2922 0.2799 0.5069  1 Ir 2.61, 2 Er 2.74-2.84
3 Ir 0.0124 0.7201 0.9931  1 Ir 2.61, 2 Er 2.74-2.84
4 Ir 0.9876 0.2799 0.0069  1 Ir 2.61, 2 Er 2.74-2.84
5 Er 0.1504 0.0000 0.7500  4 Ir 2.74-2.84
6 Er 0.8496 0.0000 0.2500  4 Ir 2.74-2.84
7 Dy 0.4930 0.2965 0.1512  5 Ir 2.99-3.14
8 Dy 0.5070 0.7035 0.8488  5 Ir 2.99-3.14
9 Dy 0.8035 0.2965 0.6512  5 Ir 2.99-3.14
10 Dy 0.1965 0.7035 0.3488  5 Ir 2.99-3.14

=====

Computed, not measured: a relaxed LiAs2Ru crystal at the PBE level of DFT.

Calculated values
Total energy = -5.218 eV/atom
Formation enthalpy at 0 K = -0.096 eV per atom
SG = No. 12

a = 4.4616 Å, b = 4.4616 Å, c = 3.0857 Å
α = 89.84°, β = 89.84°, γ = 102.02°
Last column: nearest neighbours and their distance in Å.
Sites, in units of the cell vectors:
1 Ru 0.0000 0.5000 0.5000  8 As 2.71-2.72, 2 Li 2.81
2 As 0.0000 0.0000 0.0000  4 Li 2.71-2.72, 4 Ru 2.71-2.72, 2 As 2.81
3 As 0.5000 0.5000 0.0000  4 Ru 2.71-2.72, 4 Li 2.71-2.72, 2 As 2.81
4 Li 0.5000 0.0000 0.5000  8 As 2.71-2.72, 2 Ru 2.81

=====

Computed, not measured: a relaxed ThCdIrO6 crystal at the PBE level of DFT.

Calculated values
Total energy = -6.894 eV/atom
SG = No. 102
Uncorrected formation energy = -162 kJ per mole of atoms

a = 5.0553 Å, b = 5.0553 Å, c = 10.1864 Å
α = 90.00°, β = 90.00°, γ = 90.00°
Last column: nearest neighbours and their distance in Å.
Sites, in units of the cell vectors:
1 Cd 0.0000 0.0000 0.6672  6 O 2.28-2.38
2 Cd 0.5000 0.5000 0.1672  6 O 2.28-2.38
3 O 0.2293 0.7707 0.8368  1 Ir 1.94
4 O 0.7707 0.2293 0.8368  1 Ir 1.94
5 O 0.8177 0.1823 0.1879  1 Ir 1.96
6 O 0.3177 0.3177 0.6879  1 Ir 1.96
7 O 0.2707 0.2707 0.3368  1 Ir 1.94
8 O 0.7293 0.7293 0.3368  1 Ir 1.94
9 O 0.8163 0.1837 0.4760  1 Ir 1.97
10 O 0.1823 0.8177 0.1879  1 Ir 1.96
11 O 0.6837 0.6837 0.9760  1 Ir 1.97
12 O 0.6823 0.6823 0.6879  1 Ir 1.96
13 O 0.1837 0.8163 0.4760  1 Ir 1.97
14 O 0.3163 0.3163 0.9760  1 Ir 1.97
15 Th 0.5000 0.5000 0.4992  6 O 2.27-2.33
16 Th 0.0000 0.0000 0.9992  6 O 2.27-2.33
17 Ir 0.0000 0.0000 0.3320  6 O 1.94-1.97
18 Ir 0.5000 0.5000 0.8320  6 O 1.94-1.97

=====

Question: Which of these has the lowest total energy?
Answer: Dy2ErIr2

=====

Question: What is the formula in the fourth record?
Answer: Dy2ErIr2